4
Lattice="-1.2049 3.4926 0.6616 -3.6586 0.6557 0.5222 -1.0075 0.5921 5.6867" Properties=species:S:1:pos:R:3 comment="PaTcO2, relaxed, DFT PBE" energy_ev_per_atom=-9.249 total_magnetization_mub_per_atom=0.29 density_g_cm3=9.1 pbc="T T T"
Pa -2.9355 2.3702 3.4352
O -1.2386 0.8898 3.6940
O -4.6325 3.8506 3.1765
Tc 0.0000 0.0000 0.0000